Entry 1:
Material: Li2Ca3Al
Method: DFT, PBE
State: relaxed

Calculated values
As for the formation energy: -61 meV/atom. The density of states at the Fermi level comes out at 6.171 states/eV per cell. The value obtained for the total energy is -2.32 eV/atom. The space-group type is P4/mmm, No. 123.

Cell and atoms, written as CIF:
```
data_Li2Ca3Al
_chemical_formula_sum 'Li2 Ca3 Al1'
_space_group_name_H-M_alt 'P 1'
_space_group_IT_number 1
_cell_length_a 3.830
_cell_length_b 3.830
_cell_length_c 11.883
_cell_angle_alpha 90.00
_cell_angle_beta 90.00
_cell_angle_gamma 90.00
loop_
_space_group_symop_operation_xyz
'x,y,z'
loop_
_atom_site_label
_atom_site_type_symbol
_atom_site_fract_x
_atom_site_fract_y
_atom_site_fract_z
_atom_site_occupancy
Li1 Li 0.000 0.000 0.177 1
Li2 Li 0.000 0.000 0.823 1
Ca1 Ca 0.500 0.500 0.000 1
Ca2 Ca 0.500 0.500 0.349 1
Ca3 Ca 0.500 0.500 0.651 1
Al1 Al 0.000 0.000 0.500 1
```

---

Entry 2:
Material: LiCa16Al12
Method: DFT, PBE
State: relaxed

Calculated values
As for the formation energy: -124 meV/atom. The density of states at the Fermi level comes out at 20.469 states/eV per cell. The value obtained for the total energy is -2.84 eV/atom. The space-group type is Cm, No. 8.

Cell and atoms, written as CIF:
```
data_LiCa16Al12
_chemical_formula_sum 'Li1 Ca16 Al12'
_space_group_name_H-M_alt 'P 1'
_space_group_IT_number 1
_cell_length_a 9.858
_cell_length_b 9.858
_cell_length_c 10.239
_cell_angle_alpha 109.49
_cell_angle_beta 109.49
_cell_angle_gamma 107.53
loop_
_space_group_symop_operation_xyz
'x,y,z'
loop_
_atom_site_label
_atom_site_type_symbol
_atom_site_fract_x
_atom_site_fract_y
_atom_site_fract_z
_atom_site_occupancy
Li1 Li 0.000 0.000 0.000 1
Ca1 Ca 0.000 0.650 0.355 1
Ca2 Ca 0.068 0.363 0.761 1
Ca3 Ca 0.231 0.984 0.348 1
Ca4 Ca 0.244 0.661 0.672 1
Ca5 Ca 0.305 0.305 0.052 1
Ca6 Ca 0.333 0.941 0.048 1
Ca7 Ca 0.363 0.068 0.761 1
Ca8 Ca 0.373 0.373 0.665 1
Ca9 Ca 0.650 0.000 0.355 1
Ca10 Ca 0.651 0.651 0.350 1
Ca11 Ca 0.651 0.953 0.954 1
Ca12 Ca 0.660 0.660 0.672 1
Ca13 Ca 0.661 0.244 0.672 1
Ca14 Ca 0.941 0.333 0.048 1
Ca15 Ca 0.953 0.651 0.954 1
Ca16 Ca 0.984 0.231 0.348 1
Al1 Al 0.004 0.004 0.529 1
Al2 Al 0.012 0.835 0.708 1
Al3 Al 0.291 0.661 0.189 1
Al4 Al 0.305 0.500 0.376 1
Al5 Al 0.468 0.650 0.010 1
Al6 Al 0.470 0.844 0.534 1
Al7 Al 0.500 0.305 0.376 1
Al8 Al 0.650 0.468 0.010 1
Al9 Al 0.661 0.291 0.189 1
Al10 Al 0.815 0.815 0.172 1
Al11 Al 0.835 0.012 0.708 1
Al12 Al 0.844 0.470 0.534 1
```

---

Entry 3:
Material: Li5Ca2Al
Method: DFT, PBE
State: relaxed

Calculated values
As for the formation energy: 105 meV/atom. The density of states at the Fermi level comes out at 2.888 states/eV per cell. The value obtained for the total energy is -2.06 eV/atom. The space-group type is P4/mmm, No. 123.

Cell and atoms, written as CIF:
```
data_Li5Ca2Al
_chemical_formula_sum 'Li5 Ca2 Al1'
_space_group_name_H-M_alt 'P 1'
_space_group_IT_number 1
_cell_length_a 6.371
_cell_length_b 6.371
_cell_length_c 5.088
_cell_angle_alpha 90.00
_cell_angle_beta 90.00
_cell_angle_gamma 90.00
loop_
_space_group_symop_operation_xyz
'x,y,z'
loop_
_atom_site_label
_atom_site_type_symbol
_atom_site_fract_x
_atom_site_fract_y
_atom_site_fract_z
_atom_site_occupancy
Li1 Li 0.000 0.000 0.000 1
Li2 Li 0.285 0.285 0.500 1
Li3 Li 0.285 0.715 0.500 1
Li4 Li 0.715 0.285 0.500 1
Li5 Li 0.715 0.715 0.500 1
Ca1 Ca 0.000 0.500 0.000 1
Ca2 Ca 0.500 0.000 0.000 1
Al1 Al 0.000 0.000 0.500 1
```

---

Entry 4:
Material: Li4Ca2Al5
Method: DFT, PBE
State: relaxed

Calculated values
As for the formation energy: -115 meV/atom. The density of states at the Fermi level comes out at 3.830 states/eV per cell. The value obtained for the total energy is -2.88 eV/atom. The space-group type is C2/m, No. 12.

Cell and atoms, written as CIF:
```
data_Li4Ca2Al5
_chemical_formula_sum 'Li4 Ca2 Al5'
_space_group_name_H-M_alt 'P 1'
_space_group_IT_number 1
_cell_length_a 6.556
_cell_length_b 6.556
_cell_length_c 8.289
_cell_angle_alpha 124.92
_cell_angle_beta 124.92
_cell_angle_gamma 51.00
loop_
_space_group_symop_operation_xyz
'x,y,z'
loop_
_atom_site_label
_atom_site_type_symbol
_atom_site_fract_x
_atom_site_fract_y
_atom_site_fract_z
_atom_site_occupancy
Li1 Li 0.241 0.241 0.059 1
Li2 Li 0.252 0.252 0.393 1
Li3 Li 0.748 0.748 0.607 1
Li4 Li 0.759 0.759 0.941 1
Ca1 Ca 0.303 0.303 0.785 1
Ca2 Ca 0.697 0.697 0.215 1
Al1 Al 0.000 0.000 0.000 1
Al2 Al 0.242 0.753 0.319 1
Al3 Al 0.247 0.758 0.681 1
Al4 Al 0.753 0.242 0.319 1
Al5 Al 0.758 0.247 0.681 1
```

---

Entry 5:
Material: Li2CaAl2
Method: DFT, PBE
State: relaxed

Calculated values
As for the formation energy: -64 meV/atom. The density of states at the Fermi level comes out at 2.667 states/eV per cell. The value obtained for the total energy is -2.73 eV/atom. The space-group type is I4/mmm, No. 139.

Cell and atoms, written as CIF:
```
data_Li2CaAl2
_chemical_formula_sum 'Li2 Ca1 Al2'
_space_group_name_H-M_alt 'P 1'
_space_group_IT_number 1
_cell_length_a 7.233
_cell_length_b 7.233
_cell_length_c 7.233
_cell_angle_alpha 147.15
_cell_angle_beta 147.15
_cell_angle_gamma 47.15
loop_
_space_group_symop_operation_xyz
'x,y,z'
loop_
_atom_site_label
_atom_site_type_symbol
_atom_site_fract_x
_atom_site_fract_y
_atom_site_fract_z
_atom_site_occupancy
Li1 Li 0.250 0.750 0.500 1
Li2 Li 0.750 0.250 0.500 1
Ca1 Ca 0.000 0.000 0.000 1
Al1 Al 0.398 0.398 0.000 1
Al2 Al 0.602 0.602 0.000 1
```

---

Entry 6:
Material: LiCa2Al
Method: DFT, PBE
State: relaxed

Calculated values
As for the formation energy: -109 meV/atom. The density of states at the Fermi level comes out at 3.102 states/eV per cell. The value obtained for the total energy is -2.52 eV/atom. The space-group type is P2/m, No. 10.

Cell and atoms, written as CIF:
```
data_LiCa2Al
_chemical_formula_sum 'Li1 Ca2 Al1'
_space_group_name_H-M_alt 'P 1'
_space_group_IT_number 1
_cell_length_a 3.774
_cell_length_b 3.754
_cell_length_c 7.943
_cell_angle_alpha 90.00
_cell_angle_beta 90.32
_cell_angle_gamma 90.00
loop_
_space_group_symop_operation_xyz
'x,y,z'
loop_
_atom_site_label
_atom_site_type_symbol
_atom_site_fract_x
_atom_site_fract_y
_atom_site_fract_z
_atom_site_occupancy
Li1 Li 0.000 0.000 0.000 1
Ca1 Ca 0.499 0.500 0.270 1
Ca2 Ca 0.501 0.500 0.730 1
Al1 Al 0.000 0.000 0.500 1
```

---

Entry 7:
Material: Li2CaAl2
Method: DFT, PBE
State: relaxed

Calculated values
As for the formation energy: -90 meV/atom. The density of states at the Fermi level comes out at 4.494 states/eV per cell. The value obtained for the total energy is -2.75 eV/atom. The space-group type is P4/mbm, No. 127.

Cell and atoms, written as CIF:
```
data_Li2CaAl2
_chemical_formula_sum 'Li4 Ca2 Al4'
_space_group_name_H-M_alt 'P 1'
_space_group_IT_number 1
_cell_length_a 8.031
_cell_length_b 8.031
_cell_length_c 3.060
_cell_angle_alpha 90.00
_cell_angle_beta 90.00
_cell_angle_gamma 90.00
loop_
_space_group_symop_operation_xyz
'x,y,z'
loop_
_atom_site_label
_atom_site_type_symbol
_atom_site_fract_x
_atom_site_fract_y
_atom_site_fract_z
_atom_site_occupancy
Li1 Li 0.123 0.377 0.000 1
Li2 Li 0.377 0.877 0.000 1
Li3 Li 0.623 0.123 0.000 1
Li4 Li 0.877 0.623 0.000 1
Ca1 Ca 0.000 0.000 0.000 1
Ca2 Ca 0.500 0.500 0.000 1
Al1 Al 0.169 0.669 0.500 1
Al2 Al 0.331 0.169 0.500 1
Al3 Al 0.669 0.831 0.500 1
Al4 Al 0.831 0.331 0.500 1
```

---

Entry 8:
Material: LiCa2Al3
Method: DFT, PBE
State: relaxed

Calculated values
As for the formation energy: -261 meV/atom. The density of states at the Fermi level comes out at 3.215 states/eV per cell. The value obtained for the total energy is -3.12 eV/atom. The space-group type is C2/m, No. 12.

Cell and atoms, written as CIF:
```
data_LiCa2Al3
_chemical_formula_sum 'Li1 Ca2 Al3'
_space_group_name_H-M_alt 'P 1'
_space_group_IT_number 1
_cell_length_a 5.696
_cell_length_b 5.696
_cell_length_c 5.722
_cell_angle_alpha 119.73
_cell_angle_beta 119.73
_cell_angle_gamma 60.31
loop_
_space_group_symop_operation_xyz
'x,y,z'
loop_
_atom_site_label
_atom_site_type_symbol
_atom_site_fract_x
_atom_site_fract_y
_atom_site_fract_z
_atom_site_occupancy
Li1 Li 0.000 0.000 0.000 1
Ca1 Ca 0.378 0.378 0.133 1
Ca2 Ca 0.622 0.622 0.867 1
Al1 Al 0.000 0.000 0.500 1
Al2 Al 0.000 0.500 0.500 1
Al3 Al 0.500 0.000 0.500 1
```